Model P:
This record from Alexandria describes a relaxed structure of Pr3Y2In. The functional is PBE.

The size of the total moment comes out at 0.000 μB per formula unit.

The structure belongs to space group Cmmm (No. 65); the cell edges are 5.0210, 15.3534 and 5.0098 Å and the angles 90.00°, 90.00° and 90.00°. Symmetry generates all atoms from Pr at (0.0000, 0.0000, 0.0000), Pr at (0.0000, 0.3311, 0.0000), Y at (0.0000, 0.1611, 0.5000) and In at (0.0000, 0.5000, 0.5000).

***

Model Q:
This record from Alexandria describes a relaxed structure of Pr3Y2In. The functional is PBE.

The size of the total moment comes out at 0.000 μB per formula unit.

The structure belongs to space group C2/m (No. 12); the cell edges are 6.2477, 10.8529 and 11.7843 Å and the angles 90.00°, 100.32° and 90.00°. Symmetry generates all atoms from Pr at (0.2410, 0.0000, 0.2445), Pr at (0.2497, 0.1703, 0.7561), Y at (0.0000, 0.0000, 0.5000), Y at (0.0000, 0.3354, 0.5000), Y at (0.0000, 0.5000, 0.0000) and In at (0.0000, 0.1658, 0.0000).

***

Which of them is least stable? Easy: model Q.

***

Model P:
This record from Alexandria describes a relaxed structure of PrY3In. The functional is PBE.

The size of the total moment comes out at 0.655 μB per formula unit.

The structure belongs to space group Cmcm (No. 63); the cell edges are 4.9254, 25.2755 and 4.9087 Å and the angles 90.00°, 90.00° and 90.00°. Symmetry generates all atoms from Pr at (0.0000, 0.1487, 0.2500), Y at (0.0000, 0.0486, 0.7500), Y at (0.0000, 0.2503, 0.7500), Y at (0.0000, 0.4471, 0.7500) and In at (0.0000, 0.3460, 0.2500).

***

Model Q:
This record from Alexandria describes a relaxed structure of PrY3In. The functional is PBE.

The size of the total moment comes out at 0.002 μB per formula unit.

The structure belongs to space group P6_3/mmc (No. 194); the cell edges are 8.0652, 8.0652 and 6.0553 Å and the angles 90.00°, 90.00° and 120.00°. Symmetry generates all atoms from Pr at (0.3333, 0.6667, 0.2500), Y at (0.1922, 0.3843, 0.7500) and In at (0.0000, 0.0000, 0.0000).

***

Which of them is least stable? Easy: model Q.

***

Model P:
This record from Alexandria describes a relaxed structure of Pr2Zn5In. The functional is PBE.

The size of the total moment comes out at 0.000 μB per formula unit.

The structure belongs to space group I4mm (No. 107); the cell edges are 6.6590, 6.6590 and 7.9640 Å and the angles 90.00°, 90.00° and 90.00°. Symmetry generates all atoms from Pr at (0.0000, 0.5000, 0.0000), Zn at (0.0000, 0.0000, 0.0211), Zn at (0.2010, 0.2010, 0.7500) and In at (0.0000, 0.0000, 0.4017).

***

Model Q:
This record from Alexandria describes a relaxed structure of Pr2Zn5In. The functional is PBE.

The size of the total moment comes out at 0.000 μB per formula unit.

The structure belongs to space group Cmcm (No. 63); the cell edges are 4.5228, 16.6828 and 9.1160 Å and the angles 90.00°, 90.00° and 90.00°. Symmetry generates all atoms from Pr at (0.0000, 0.0000, 0.0000), Pr at (0.0000, 0.2074, 0.2500), Zn at (0.0000, 0.1848, 0.6084), Zn at (0.0000, 0.3452, 0.5155), Zn at (0.0000, 0.3974, 0.2500) and In at (0.0000, 0.4432, 0.7500).

***

Which of them is least stable? Easy: model P.

***

Model P:
This record from Alexandria describes a relaxed structure of PrZn3In. The functional is PBE.

The size of the total moment comes out at 0.000 μB per formula unit.

The structure belongs to space group I-4m2 (No. 119); the cell edges are 4.8269, 4.8269 and 23.6399 Å and the angles 90.00°, 90.00° and 90.00°. Symmetry generates all atoms from Pr at (0.0000, 0.0000, 0.0000), Pr at (0.0000, 0.5000, 0.2500), Zn at (0.0000, 0.2477, 0.1214), Zn at (0.0000, 0.5000, 0.5902) and In at (0.0000, 0.0000, 0.3425).

***

Model Q:
This record from Alexandria describes a relaxed structure of PrZn3In. The functional is PBE.

The size of the total moment comes out at 0.000 μB per formula unit.

The structure belongs to space group Cmme (No. 67); the cell edges are 6.1906, 10.9579 and 6.1842 Å and the angles 90.00°, 90.00° and 90.00°. Symmetry generates all atoms from Pr at (0.0000, 0.2500, 0.2479), Zn at (0.0000, 0.1389, 0.7242), Zn at (0.2500, 0.0000, 0.5000) and In at (0.2500, 0.0000, 0.0000).

***

Which of them is least stable? Easy: model P.

***

Model P:
This record from Alexandria describes a relaxed structure of Pr3Zn2In3. The functional is PBE.

The size of the total moment comes out at 0.001 μB per formula unit.

The structure belongs to space group P-62m (No. 189); the cell edges are 7.8416, 7.8416 and 4.0343 Å and the angles 90.00°, 90.00° and 120.00°. Symmetry generates all atoms from Pr at (0.0000, 0.6025, 0.0000), Zn at (0.3333, 0.6667, 0.5000) and In at (0.0000, 0.2410, 0.5000).

***

Model Q:
This record from Alexandria describes a relaxed structure of Pr3Zn2In3. The functional is PBE.

The size of the total moment comes out at 0.000 μB per formula unit.

The structure belongs to space group Cmcm (No. 63); the cell edges are 4.7459, 11.3037 and 15.7836 Å and the angles 90.00°, 90.00° and 90.00°. Symmetry generates all atoms from Pr at (0.0000, 0.0905, 0.1095), Pr at (0.0000, 0.3626, 0.2500), Zn at (0.0000, 0.2062, 0.6023), In at (0.0000, 0.3442, 0.7500) and In at (0.0000, 0.3802, 0.0389).

***

Which of them is least stable? Easy: model P.

***

Model P:
This record from Alexandria describes a relaxed structure of PrZr2In. The functional is PBE.

The size of the total moment comes out at 0.000 μB per formula unit.

The structure belongs to space group R-3m (No. 166, hexagonal axes); the cell edges are 3.2201, 3.2201 and 34.5957 Å and the angles 90.00°, 90.00° and 120.00°. Symmetry generates all atoms from Pr at (0.0000, 0.0000, 0.0000), Zr at (0.0000, 0.0000, 0.0926) and In at (0.0000, 0.0000, 0.5000).

***

Model Q:
This record from Alexandria describes a relaxed structure of PrZr2In. The functional is PBE.

The size of the total moment comes out at 0.000 μB per formula unit.

The structure belongs to space group P4/mmm (No. 123); the cell edges are 3.2276, 3.2276 and 9.6939 Å and the angles 90.00°, 90.00° and 90.00°. Symmetry generates all atoms from Pr at (0.0000, 0.0000, 0.0000), Zr at (0.5000, 0.5000, 0.2783) and In at (0.0000, 0.0000, 0.5000).

***

Model R:
This record from Alexandria describes a relaxed structure of PrZr2In. The functional is PBE.

The size of the total moment comes out at 0.000 μB per formula unit.

The structure belongs to space group P4/mmm (No. 123); the cell edges are 4.6749, 4.6749 and 4.5861 Å and the angles 90.00°, 90.00° and 90.00°. Symmetry generates all atoms from Pr at (0.0000, 0.0000, 0.0000), Zr at (0.0000, 0.5000, 0.5000) and In at (0.5000, 0.5000, 0.0000).

***

Which of them is least stable? Easy: model P.